# Ac8Si3AgBr4 (PBE-GGA, relaxed)
# Raw formation energy   -15.16 eV/f.u.
# Space group   R-3m, No. 166
# Fermi-level density of states   9.281 states/eV per cell
data_Ac8Si3AgBr4
_cell_length_a 9.2142
_cell_length_b 9.1539
_cell_length_c 9.2145
_cell_angle_alpha 120.23
_cell_angle_beta 120.00
_cell_angle_gamma 90.00
_space_group_name_H-M_alt 'P 1'
_space_group_IT_number 1
loop_
_space_group_symop_operation_xyz
'x,y,z'
loop_
_atom_site_label
_atom_site_type_symbol
_atom_site_fract_x
_atom_site_fract_y
_atom_site_fract_z
Ac1 Ac 0.2460 0.7251 0.9793
Ac2 Ac 0.2601 0.2804 0.5203
Ac3 Ac 0.7540 0.2749 0.5080
Ac4 Ac 0.7540 0.2749 0.0207
Ac5 Ac 0.7399 0.7196 0.4797
Ac6 Ac 0.7333 0.7251 0.9793
Ac7 Ac 0.2460 0.7251 0.4920
Ac8 Ac 0.2667 0.2749 0.0207
Si1 Si 0.5000 0.5000 0.5000
Si2 Si 0.5000 0.5000 0.0000
Si3 Si 0.0000 0.5000 0.5000
Br1 Br 0.0000 0.0000 0.0000
Br2 Br 0.5000 0.0000 0.5000
Br3 Br 0.0000 0.0000 0.5000
Br4 Br 0.5000 0.0000 0.0000
Ag1 Ag 0.0000 0.5000 0.0000

=====

# AcTlAgBr5 (PBE-GGA, relaxed)
# Raw formation energy   -10.33 eV/f.u.
# Space group   C2/c, No. 15
# Fermi-level density of states   0.000 states/eV per cell
data_AcTlAgBr5
_cell_length_a 8.2274
_cell_length_b 8.2274
_cell_length_c 11.1000
_cell_angle_alpha 102.63
_cell_angle_beta 102.63
_cell_angle_gamma 109.21
_space_group_name_H-M_alt 'P 1'
_space_group_IT_number 1
loop_
_space_group_symop_operation_xyz
'x,y,z'
loop_
_atom_site_label
_atom_site_type_symbol
_atom_site_fract_x
_atom_site_fract_y
_atom_site_fract_z
Br1 Br 0.6126 0.7330 0.9437
Br2 Br 0.3874 0.2670 0.0563
Br3 Br 0.6690 0.0596 0.3710
Br4 Br 0.3310 0.9404 0.6290
Br5 Br 0.0596 0.6690 0.8710
Br6 Br 0.0984 0.9016 0.2500
Br7 Br 0.2670 0.3874 0.5563
Br8 Br 0.9404 0.3310 0.1290
Br9 Br 0.7330 0.6126 0.4437
Br10 Br 0.9016 0.0984 0.7500
Ac1 Ac 0.0000 0.0000 0.5000
Ac2 Ac 0.0000 0.0000 0.0000
Tl1 Tl 0.3692 0.6308 0.2500
Tl2 Tl 0.6308 0.3692 0.7500
Ag1 Ag 0.6861 0.3139 0.2500
Ag2 Ag 0.3139 0.6861 0.7500

=====

# Ac4Ag2C (PBE-GGA, relaxed)
# Energy of formation   -0.0112 eV per atom
# Space group   I4/mmm, No. 139
# Fermi-level density of states   8.029 states/eV per cell
data_Ac4Ag2C
_cell_length_a 5.4463
_cell_length_b 5.4463
_cell_length_c 8.7556
_cell_angle_alpha 108.12
_cell_angle_beta 108.12
_cell_angle_gamma 90.00
_space_group_name_H-M_alt 'P 1'
_space_group_IT_number 1
loop_
_space_group_symop_operation_xyz
'x,y,z'
loop_
_atom_site_label
_atom_site_type_symbol
_atom_site_fract_x
_atom_site_fract_y
_atom_site_fract_z
Ac1 Ac 0.1743 0.1743 0.3486
Ac2 Ac 0.8257 0.8257 0.6514
Ac3 Ac 0.0000 0.5000 0.0000
Ac4 Ac 0.5000 0.0000 0.0000
Ag1 Ag 0.3747 0.3747 0.7493
Ag2 Ag 0.6253 0.6253 0.2507
C1 C 0.0000 0.0000 0.0000

=====

# Ac2AgIrC (PBE-GGA, relaxed)
# Energy of formation   -0.3596 eV per atom
# Space group   P4/mmm, No. 123
# Fermi-level density of states   2.101 states/eV per cell
data_Ac2AgIrC
_cell_length_a 3.9100
_cell_length_b 5.6326
_cell_length_c 5.6326
_cell_angle_alpha 90.00
_cell_angle_beta 90.00
_cell_angle_gamma 90.00
_space_group_name_H-M_alt 'P 1'
_space_group_IT_number 1
loop_
_space_group_symop_operation_xyz
'x,y,z'
loop_
_atom_site_label
_atom_site_type_symbol
_atom_site_fract_x
_atom_site_fract_y
_atom_site_fract_z
C1 C 0.0000 0.0000 0.0000
Ir1 Ir 0.5000 0.0000 0.0000
Ac1 Ac 0.0000 0.0000 0.5000
Ac2 Ac 0.0000 0.5000 0.0000
Ag1 Ag 0.5000 0.5000 0.5000